--- P ---
Compound: LiB2C2
Source: Alexandria
Functional: PBE
Structure: relaxed

Its space group is Cm. The density of states at the Fermi level comes out at 3.218 states/eV/cell.

Lattice parameters (Å, degrees): 7.7684 7.7684 9.4400 107.22 107.22 19.93
With the nearest neighbours (Å) after each atom.
Fractional positions:
B 0.8748 0.8748 0.1073  3 C 1.54-1.57
B 0.6300 0.6300 0.1442  3 C 1.55-1.57
C 0.1336 0.1336 0.2324  3 B 1.55-1.57
B 0.3756 0.3756 0.3536  3 C 1.56-1.57
C 0.3739 0.3739 0.0217  3 B 1.54-1.57
Li 0.7526 0.7526 0.3643  6 C 2.30-2.49, 6 B 2.34-2.46
C 0.3742 0.3742 0.5189  3 B 1.57-1.58
B 0.6191 0.6191 0.6418  3 C 1.56-1.57
C 0.6272 0.6272 0.9790  3 B 1.55-1.56
B 0.1267 0.1267 0.8940  3 C 1.55-1.56
C 0.1167 0.1167 0.7254  3 B 1.55-1.57
Li 0.0007 0.0007 0.4832  6 C 2.31-2.46, 6 B 2.35-2.55
B 0.3726 0.3726 0.8577  3 C 1.54-1.58
B 0.8734 0.8734 0.6055  3 C 1.55-1.58
B 0.1284 0.1284 0.3935  3 C 1.55-1.58
Li 0.2465 0.2465 0.6423  6 C 2.34-2.56, 6 B 2.35-2.50
C 0.6267 0.6267 0.4806  3 B 1.56-1.58
C 0.8762 0.8762 0.2709  3 B 1.54-1.56
C 0.8723 0.8723 0.7695  3 B 1.55-1.58
Li 0.4990 0.4990 0.7642  6 B 2.35-2.45, 6 C 2.36-2.52


--- Q ---
Compound: LiB2C2
Source: Alexandria
Functional: PBE
Structure: relaxed

Its space group is Cm. The density of states at the Fermi level comes out at 2.832 states/eV/cell.

Lattice parameters (Å, degrees): 7.8421 7.8421 9.4273 108.28 108.28 19.74
With the nearest neighbours (Å) after each atom.
Fractional positions:
C 0.1291 0.1291 0.7264  3 B 1.55-1.57
C 0.3754 0.3754 0.5247  3 B 1.56-1.58
Li 0.7531 0.7531 0.8562  6 C 2.33-2.47, 6 B 2.35-2.49
Li 0.2498 0.2498 0.1261  6 C 2.30-2.37, 6 B 2.35-2.39
C 0.8655 0.8655 0.2694  3 B 1.56-1.57
C 0.3704 0.3704 0.0215  3 B 1.55-1.57
C 0.6346 0.6346 0.9800  3 B 1.56-1.57
B 0.8712 0.8712 0.1074  3 C 1.56-1.57
B 0.1165 0.1165 0.3842  3 C 1.55-1.57
B 0.1296 0.1296 0.8914  3 C 1.55-1.57
B 0.8792 0.8792 0.6144  3 C 1.54-1.58
C 0.8820 0.8820 0.7792  3 B 1.54-1.56
C 0.1292 0.1292 0.2279  3 B 1.55-1.57
B 0.6287 0.6287 0.1420  3 C 1.56-1.57
C 0.6155 0.6155 0.4699  3 B 1.55-1.57
B 0.3685 0.3685 0.3561  3 C 1.56-1.57
B 0.6256 0.6256 0.6385  3 C 1.55-1.57
Li 0.7467 0.7467 0.3987  6 C 2.33-2.51, 6 B 2.38-2.52
B 0.3819 0.3819 0.8640  3 C 1.55-1.56
Li 0.9975 0.9975 0.4969  6 C 2.34-2.45, 6 B 2.40-2.42


Quick one: least stable of them? P


--- P ---
Compound: LaTlMo2
Source: Alexandria
Functional: PBE
Structure: relaxed

Its space group is Fm-3m. The density of states at the Fermi level comes out at 3.930 states/eV/cell.

Lattice parameters (Å, degrees): 4.8721 4.8721 4.8721 60.00 60.00 60.00
With the nearest neighbours (Å) after each atom.
Fractional positions:
La 0.0000 0.0000 0.0000  8 Mo 2.98
Mo 0.7500 0.7500 0.7500  4 Tl 2.98, 4 La 2.98
Tl 0.5000 0.5000 0.5000  8 Mo 2.98
Mo 0.2500 0.2500 0.2500  4 Tl 2.98, 4 La 2.98


--- Q ---
Compound: LaTlMo2
Source: Alexandria
Functional: PBE
Structure: relaxed

Its space group is R3m. The density of states at the Fermi level comes out at 4.403 states/eV/cell.

Lattice parameters (Å, degrees): 9.8172 9.8172 9.8172 19.36 19.36 19.36
With the nearest neighbours (Å) after each atom.
Fractional positions:
La 0.7409 0.7409 0.7409  3 Mo 3.17, 6 La 3.30, 3 Tl 3.53
Mo 0.2624 0.2624 0.2624  3 Mo 2.52
Mo 0.9864 0.9864 0.9864  3 Mo 2.52
Tl 0.5102 0.5102 0.5102  3 Mo 3.12, 6 Tl 3.30


Quick one: least stable of them? P


--- P ---
Compound: BaFeP2
Source: Alexandria
Functional: PBE
Structure: relaxed

Its space group is Immm. The density of states at the Fermi level comes out at 3.324 states/eV/cell.

Lattice parameters (Å, degrees): 5.2744 5.2744 5.2744 136.98 105.08 90.50
With the nearest neighbours (Å) after each atom.
Fractional positions:
P 0.3983 0.3983 0.0000  1 P 2.20, 2 Fe 2.23
Fe 0.2500 0.7500 0.5000  4 P 2.23
Ba 0.7500 0.2500 0.5000  8 P 3.25-3.39
P 0.1017 0.1017 0.0000  1 P 2.20, 2 Fe 2.23


--- Q ---
Compound: BaFeP2
Source: Alexandria
Functional: PBE
Structure: relaxed

Its space group is F-43m. The density of states at the Fermi level comes out at 4.646 states/eV/cell.

Lattice parameters (Å, degrees): 4.9032 4.9032 4.9032 60.00 60.00 60.00
With the nearest neighbours (Å) after each atom.
Fractional positions:
P 0.2500 0.2500 0.2500  4 Ba 3.00, 4 P 3.00
P 0.0000 0.0000 0.0000  4 Fe 3.00, 4 P 3.00
Ba 0.5000 0.5000 0.5000  4 P 3.00, 4 Fe 3.00
Fe 0.7500 0.7500 0.7500  4 Ba 3.00, 4 P 3.00


Quick one: least stable of them? Q


--- P ---
Compound: B5C7
Source: Alexandria
Functional: PBE
Structure: relaxed

Its space group is Cm. The density of states at the Fermi level comes out at 1.048 states/eV/cell.

Lattice parameters (Å, degrees): 5.9509 5.9509 5.4134 103.01 103.01 25.34
With the nearest neighbours (Å) after each atom.
Fractional positions:
C 0.6638 0.6638 0.8237  4 C 1.55-1.59
C 0.5797 0.5797 0.5478  3 C 1.58, 1 B 1.69
B 0.8993 0.8993 0.6576  3 C 1.54-1.59
B 0.3425 0.3425 0.1330  3 C 1.60-1.61
C 0.9208 0.9208 0.2223  1 C 1.59, 3 B 1.60-1.62
C 0.2440 0.2440 0.8688  3 C 1.58-1.59, 1 B 1.61
C 0.0006 0.0006 0.5035  3 C 1.58-1.59, 1 B 1.59
B 0.6539 0.6539 0.3142  2 C 1.62-1.69, 2 B 1.77
C 0.3329 0.3329 0.6882  3 B 1.54, 1 C 1.58
B 0.0208 0.0208 0.0578  3 C 1.54-1.62
C 0.5845 0.5845 0.0181  3 B 1.54-1.62, 1 C 1.55
B 0.2573 0.2573 0.4150  1 C 1.54


--- Q ---
Compound: B5C7
Source: Alexandria
Functional: PBE
Structure: relaxed

Its space group is P1. The density of states at the Fermi level comes out at 2.263 states/eV/cell.

Lattice parameters (Å, degrees): 4.5569 4.5008 5.3472 100.33 100.89 46.00
With the nearest neighbours (Å) after each atom.
Fractional positions:
B 0.0492 0.0015 0.4919  2 C 1.59-1.61
C 0.3690 0.3581 0.6937  2 C 1.52, 2 B 1.63-1.66
B 0.9959 0.9981 0.9988  4 C 1.58-1.68
C 0.2215 0.7179 0.2340  1 C 1.53, 3 B 1.58-1.62
C 0.9106 0.4137 0.0678  2 C 1.51-1.56, 2 B 1.59-1.61
C 0.3131 0.3167 0.1604  3 C 1.53-1.58, 1 B 1.66
C 0.5712 0.0943 0.9220  3 C 1.52-1.58, 1 B 1.64
B 0.6560 0.5905 0.3079  2 C 1.59-1.62, 1 B 1.69
B 0.9260 0.4885 0.5971  2 C 1.64-1.66, 1 B 1.69
C 0.6682 0.6910 0.8489  3 C 1.51-1.57, 1 B 1.64
C 0.2819 0.7561 0.7492  2 C 1.52-1.57, 2 B 1.61-1.68
B 0.5376 0.0734 0.4281  2 C 1.63-1.66


Quick one: least stable of them? Q


--- P ---
Compound: B2C
Source: Alexandria
Functional: PBE
Structure: relaxed

Its space group is P-3m1. The density of states at the Fermi level comes out at 1.288 states/eV/cell.

Lattice parameters (Å, degrees): 2.7139 2.7139 8.4072 90.00 90.00 120.00
With the nearest neighbours (Å) after each atom.
Fractional positions:
C 0.6667 0.3333 0.2461  4 B 1.57
B 0.0000 0.0000 0.7401  3 C 1.57
B 0.3333 0.6667 0.9403  1 C 1.57
C 0.3333 0.6667 0.7539  4 B 1.57
B 0.6667 0.3333 0.0597  1 C 1.57
B 0.0000 0.0000 0.2599  3 C 1.57


--- Q ---
Compound: B2C
Source: Alexandria
Functional: PBE
Structure: relaxed

Its space group is Cm. The density of states at the Fermi level comes out at 0.275 states/eV/cell.

Lattice parameters (Å, degrees): 2.7225 3.0501 3.1443 116.87 90.00 116.50
With the nearest neighbours (Å) after each atom.
Fractional positions:
C 0.9622 0.0348 0.1208  4 B 1.57-1.66
B 0.9448 0.9999 0.6040  2 C 1.57-1.58
B 0.6041 0.3187 0.0344  3 C 1.66-1.83, 3 B 1.80-1.82


Quick one: least stable of them? Q